No. 1
Entry from the Alexandria database: BaSr2Co after structural relaxation (GGA-PBE).

Summary:
crystal system: tetragonal
energy above the most stable polymorph in this dataset: 283 meV/atom
final energy: -2.51 eV/atom

Geometry as POSCAR:
```
BaSr2Co
1.0
-1.467 -6.395 5.144
-0.101 -5.211 -6.507
5.021 -6.657 -0.088
Ba Sr Co
2 4 2
direct
0.000 0.000 0.000 Ba
0.750 0.250 0.500 Ba
0.376 0.125 0.250 Sr
0.374 0.625 0.250 Sr
0.875 0.626 0.750 Sr
0.375 0.624 0.750 Sr
0.250 0.750 0.500 Co
0.500 0.500 0.000 Co
```


No. 2
Entry from the Alexandria database: BaSr2Co after structural relaxation (GGA-PBE).

Summary:
crystal system: monoclinic
energy above the most stable polymorph in this dataset: 16 meV/atom
final energy: -2.77 eV/atom

Geometry as POSCAR:
```
BaSr2Co
1.0
6.354 -0.325 0.504
5.248 3.597 0.504
2.571 0.725 6.990
Sr Co Ba
2 1 1
direct
0.245 0.245 0.185 Sr
0.063 0.063 0.885 Sr
0.779 0.779 0.874 Co
0.413 0.413 0.556 Ba
```


No. 3
Entry from the Alexandria database: Ba2SrCo2 after structural relaxation (GGA-PBE).

Summary:
crystal system: tetragonal
final energy: -3.55 eV/atom

Geometry as POSCAR:
```
Ba2SrCo2
1.0
-4.982 3.951 -5.434
-5.956 0.534 5.848
1.814 4.290 1.456
Ba Sr Co
4 2 4
direct
0.833 0.333 0.500 Ba
0.167 0.667 0.500 Ba
0.667 0.833 0.500 Ba
0.333 0.167 0.500 Ba
0.000 0.000 0.000 Sr
0.500 0.500 0.000 Sr
0.592 0.092 0.000 Co
0.092 0.408 0.000 Co
0.408 0.908 0.000 Co
0.908 0.592 0.000 Co
```


No. 4
Entry from the Alexandria database: Ba2SrCo after structural relaxation (GGA-PBE).

Summary:
crystal system: orthorhombic
energy above the most stable polymorph in this dataset: 0 meV/atom
final energy: -2.86 eV/atom

Geometry as POSCAR:
```
Ba2SrCo
1.0
-2.257 -3.326 -1.546
4.917 -0.596 -5.893
6.530 -3.933 -1.068
Co Ba Sr
1 2 1
direct
0.500 0.250 0.250 Co
0.000 0.396 0.396 Ba
0.000 0.104 0.104 Ba
0.500 0.750 0.750 Sr
```